This record from the Open Quantum Materials Database describes an optimized crystal structure of RbTbHf. The functional is GGA-PBE.

Results
* final energy: -10.60 eV/f.u.
* volume: 132.4 Å³/f.u.

Cell: 8.091 8.091 8.091 Å, 90.00 90.00 90.00°
Space group F-43m (No. 216)
Inequivalent atoms, fractional coordinates:
Rb 0.000 0.000 0.000 x4
Tb 0.000 0.000 0.500 x4
Hf 0.250 0.250 0.250 x4